Entry 1:
Entry from Alexandria via LeMat-Bulk: Ba3Ti4Sb4O21 at its PBEsol-relaxed geometry (meta-GGA SCAN).

Properties
Crystal system: monoclinic
Formation energy from raw total energies in kJ/mol of atoms: -254
Size of the total moment in Bohr magnetons per cell: 0.0
SG: No. 15

Cell lengths 9.0030, 9.0030, 11.9008 Å; angles 90.36, 90.36, 60.14 degrees
Last column: nearest neighbours and their distance in Å.
Fractional positions:
Sb: 0.3334 0.3334 0.0000  6 O 1.98-2.00
Ba: 0.4061 0.5939 0.7500  10 O 2.78-3.08
O: 0.1656 0.3153 0.0972  1 Ti 1.89, 1 Sb 1.98
O: 0.1697 0.5116 0.6068  2 Sb 2.00
O: 0.2014 0.0013 0.4272  1 Sb 2.01, 2 Ti 2.06-2.09
O: 0.6847 0.8344 0.4028  1 Ti 1.89, 1 Sb 1.98
O: 0.0013 0.2014 0.9272  1 Sb 2.01, 2 Ti 2.06-2.09
O: 0.7970 0.2046 0.4263  1 Sb 2.01, 2 Ti 2.07-2.08
O: 0.4822 0.8268 0.6026  1 Ti 1.87, 1 Sb 1.99
Ti: 0.7497 0.2460 0.5978  4 O 1.84-2.06
O: 0.8344 0.6847 0.9028  1 Ti 1.89, 1 Sb 1.98
O: 0.5179 0.3092 0.6043  1 Ti 1.87, 1 Sb 1.99
O: 0.2105 0.7895 0.2500  2 Ti 1.84
O: 0.3180 0.1700 0.8926  2 Sb 2.00
O: 0.0002 0.2028 0.5790  1 Sb 2.00, 2 Ti 2.10-2.11
O: 0.2030 0.7954 0.5737  1 Sb 2.01, 2 Ti 2.07-2.08
Ti: 0.2507 0.9958 0.5992  3 O 1.83-1.89
O: 0.6820 0.8300 0.1074  2 Sb 2.00
Sb: 0.2399 0.9998 0.9138  6 O 1.96-2.01
O: 0.7954 0.2030 0.0737  1 Sb 2.01, 2 Ti 2.07-2.08
O: 0.2127 0.0002 0.7500  1 Ti 1.83, 1 Sb 1.96
O: 0.5116 0.1697 0.1068  2 Sb 2.00
Sb: 0.3334 0.3334 0.5000  6 O 1.98-2.00
O: 0.0002 0.2127 0.2500  1 Ti 1.83, 1 Sb 1.96
O: 0.1700 0.3180 0.3926  2 Sb 2.00
Ba: 0.0006 0.5969 0.2472  7 O 2.73-3.03
O: 0.4821 0.6908 0.3957  1 Ti 1.87, 1 Sb 1.99
O: 0.7972 0.9998 0.9210  1 Sb 2.00, 2 Ti 2.10-2.11
O: 0.6855 0.4804 0.5980  1 Ti 1.89, 1 Sb 1.98
Ba: 0.5939 0.4061 0.2500  10 O 2.78-3.08
Ti: 0.7540 0.2503 0.9022  4 O 1.84-2.06
Ti: 0.9958 0.2507 0.0992  3 O 1.83-1.89
O: 0.5196 0.3145 0.9020  1 Ti 1.89, 1 Sb 1.98
O: 0.4804 0.6855 0.0980  1 Ti 1.89, 1 Sb 1.98
O: 0.3145 0.5196 0.4020  1 Ti 1.89, 1 Sb 1.98
O: 0.7986 0.9987 0.5728  1 Sb 2.01, 2 Ti 2.06-2.09
O: 0.1732 0.5178 0.8974  1 Ti 1.87, 1 Sb 1.99
Sb: 0.7601 0.0002 0.0862  6 O 1.96-2.01
O: 0.7873 0.9998 0.2500  1 Ti 1.83, 1 Sb 1.96
Ba: 0.9994 0.4031 0.7528  7 O 2.73-3.03
O: 0.3092 0.5179 0.1043  1 Ti 1.87, 1 Sb 1.99
O: 0.6908 0.4821 0.8957  1 Ti 1.87, 1 Sb 1.99
O: 0.2046 0.7970 0.9263  1 Sb 2.01, 2 Ti 2.07-2.08
O: 0.3153 0.1656 0.5972  1 Ti 1.89, 1 Sb 1.98
O: 0.9998 0.7873 0.7500  1 Ti 1.83, 1 Sb 1.96
O: 0.9998 0.7972 0.4210  1 Sb 2.00, 2 Ti 2.10-2.11
Ti: 0.7493 0.0042 0.4008  3 O 1.83-1.89
O: 0.9987 0.7986 0.0728  1 Sb 2.01, 2 Ti 2.06-2.09
Ba: 0.4031 0.9994 0.2528  7 O 2.73-3.03
Sb: 0.0002 0.7601 0.5862  6 O 1.96-2.01
Ti: 0.2460 0.7497 0.0978  4 O 1.84-2.06
Sb: 0.9998 0.2399 0.4138  6 O 1.96-2.01
Ti: 0.2503 0.7540 0.4022  4 O 1.84-2.06
O: 0.8303 0.4884 0.3932  2 Sb 2.00
Sb: 0.6666 0.6666 0.0000  6 O 1.98-2.00
Ti: 0.0042 0.7493 0.9008  3 O 1.83-1.89
O: 0.8268 0.4822 0.1026  1 Ti 1.87, 1 Sb 1.99
Ba: 0.5969 0.0006 0.7472  7 O 2.73-3.03
O: 0.8300 0.6820 0.6074  2 Sb 2.00
O: 0.5178 0.1732 0.3974  1 Ti 1.87, 1 Sb 1.99
O: 0.2028 0.0002 0.0790  1 Sb 2.00, 2 Ti 2.10-2.11
O: 0.4884 0.8303 0.8932  2 Sb 2.00
Sb: 0.6666 0.6666 0.5000  6 O 1.98-2.00
O: 0.7895 0.2105 0.7500  2 Ti 1.84

***

Entry 2:
Entry from Alexandria via LeMat-Bulk: CrNi3 at its PBEsol-relaxed geometry (meta-GGA SCAN).

Properties
ΔE_f in eV/f.u.: 0.6
Crystal system: cubic
Size of the total moment in Bohr magnetons per cell: 0.0
SG: No. 223

Cell lengths 4.3961, 4.3961, 4.3961 Å; angles 90.00, 90.00, 90.00 degrees
Last column: nearest neighbours and their distance in Å.
Fractional positions:
Ni: 0.0000 0.2500 0.5000  2 Ni 2.20, 4 Cr 2.46
Cr: 0.5000 0.5000 0.5000  12 Ni 2.46
Ni: 0.7500 0.5000 0.0000  2 Ni 2.20, 4 Cr 2.46
Ni: 0.5000 0.0000 0.7500  2 Ni 2.20, 4 Cr 2.46
Cr: 0.0000 0.0000 0.0000  12 Ni 2.46
Ni: 0.0000 0.7500 0.5000  2 Ni 2.20, 4 Cr 2.46
Ni: 0.2500 0.5000 0.0000  2 Ni 2.20, 4 Cr 2.46
Ni: 0.5000 0.0000 0.2500  2 Ni 2.20, 4 Cr 2.46

***

Entry 3:
Entry from Alexandria via LeMat-Bulk: SbRu3Cl at its PBEsol-relaxed geometry (meta-GGA SCAN).

Properties
Crystal system: cubic
Formation energy from raw total energies in kJ/mol of atoms: 111
Size of the total moment in Bohr magnetons per cell: 3.2
SG: No. 221

Cell lengths 4.3604, 4.3604, 4.3604 Å; angles 90.00, 90.00, 90.00 degrees
Last column: nearest neighbours and their distance in Å.
Fractional positions:
Ru: 0.0000 0.0000 0.5000  2 Cl 2.18
Sb: 0.5000 0.5000 0.5000  12 Ru 3.08
Ru: 0.5000 0.0000 0.0000  2 Cl 2.18
Ru: 0.0000 0.5000 0.0000  2 Cl 2.18
Cl: 0.0000 0.0000 0.0000  6 Ru 2.18

***

Entry 4:
Entry from Alexandria via LeMat-Bulk: CaAu2Br at its PBEsol-relaxed geometry (meta-GGA SCAN).

Properties
Crystal system: cubic
Formation energy from raw total energies in kJ/mol of atoms: -36
Size of the total moment in Bohr magnetons per cell: 0.0
Energy above the lowest structure with this stoichiometry in eV/atom: 0.466
SG: No. 225

Cell lengths 4.9902, 4.9902, 4.9902 Å; angles 60.00, 60.00, 60.00 degrees
Last column: nearest neighbours and their distance in Å.
Fractional positions:
Au: 0.2500 0.2500 0.2500  4 Br 3.06, 4 Ca 3.06
Ca: 0.5000 0.5000 0.5000  8 Au 3.06
Au: 0.7500 0.7500 0.7500  4 Ca 3.06, 4 Br 3.06
Br: 0.0000 0.0000 0.0000  8 Au 3.06

***

For reference, calculated density by record: 5.7; 8.9; 9.2; 9.7 Mg/m³.